# 1
VASP calculation (PBE) on a relaxed ZrGaFeNi crystal.

The structure belongs to space group F-43m (No. 216); the cell edges are 6.217, 6.217 and 6.217 Å and the angles 90.00°, 90.00° and 90.00°. The inequivalent atoms are Zr at (0.000, 0.000, 0.000), Ga at (0.250, 0.250, 0.250), Fe at (0.000, 0.000, 0.500) and Ni at (0.250, 0.250, 0.750).

For the energy above the lowest structure with this stoichiometry, the calculation gives 0.1840 eV per atom. The value obtained for the uncorrected energy is -6.527 eV per atom.



# 2
VASP calculation (PBE) on a relaxed GdMgZn crystal.

The structure belongs to space group P1 (No. 1); the cell edges are 6.162, 6.395 and 8.011 Å and the angles 91.63°, 92.45° and 116.34°. The inequivalent atoms are Gd at (0.000, 0.000, 0.000), Gd at (0.139, 0.562, 0.062), Gd at (0.295, 0.317, 0.452), Gd at (0.563, 0.134, 0.102), Mg at (0.395, 0.864, 0.721), Mg at (0.528, 0.488, 0.851), Mg at (0.879, 0.304, 0.711), Mg at (0.890, 0.778, 0.611), Zn at (0.242, 0.832, 0.379), Zn at (0.643, 0.631, 0.204), Zn at (0.712, 0.994, 0.414) and Zn at (0.865, 0.438, 0.384).

The value obtained for the uncorrected energy is -2.569 eV per atom.